A crystal of Cd24Ag5 relaxed with PBEsol. Source: Alexandria via LeMat-Bulk, functional meta-GGA SCAN.

## Properties
Spin magnetization ... 0.0 μB/f.u.
Energy of formation from the pure elements ... 0.046 eV/atom
Raw total energy ... -30.5328 eV/atom

Lattice parameters (Å, degrees): 9.1318 9.1318 9.1318 109.47 109.47 109.47
Closest atoms and distances in Å follow each position.
Atoms (fractional coordinates):
Cd (0.0000, 0.3040, 0.5798)  11 Cd 2.96-3.25, 1 Ag 3.01
Cd (0.0000, 0.5798, 0.3040)  11 Cd 2.96-3.25, 1 Ag 3.01
Cd (0.0000, 0.6218, 0.8101)  8 Cd 2.81-3.00, 2 Ag 3.04
Cd (0.0000, 0.8101, 0.6218)  8 Cd 2.81-3.00, 2 Ag 3.04
Cd (0.1883, 0.3782, 0.3782)  8 Cd 2.81-3.00, 2 Ag 3.04
Cd (0.1899, 0.1899, 0.8117)  8 Cd 2.81-3.00, 2 Ag 3.04
Cd (0.1899, 0.8117, 0.1899)  8 Cd 2.81-3.00, 2 Ag 3.04
Cd (0.2758, 0.6960, 0.6960)  11 Cd 2.96-3.25, 1 Ag 3.01
Cd (0.3040, 0.0000, 0.5798)  11 Cd 2.96-3.25, 1 Ag 3.01
Cd (0.3040, 0.5798, 0.0000)  11 Cd 2.96-3.25, 1 Ag 3.01
Cd (0.3782, 0.1883, 0.3782)  8 Cd 2.81-3.00, 2 Ag 3.04
Cd (0.3782, 0.3782, 0.1883)  8 Cd 2.81-3.00, 2 Ag 3.04
Cd (0.4202, 0.4202, 0.7242)  11 Cd 2.96-3.25, 1 Ag 3.01
Cd (0.4202, 0.7242, 0.4202)  11 Cd 2.96-3.25, 1 Ag 3.01
Cd (0.5798, 0.0000, 0.3040)  11 Cd 2.96-3.25, 1 Ag 3.01
Cd (0.5798, 0.3040, 0.0000)  11 Cd 2.96-3.25, 1 Ag 3.01
Cd (0.6218, 0.0000, 0.8101)  8 Cd 2.81-3.00, 2 Ag 3.04
Cd (0.6218, 0.8101, 0.0000)  8 Cd 2.81-3.00, 2 Ag 3.04
Cd (0.6960, 0.2758, 0.6960)  11 Cd 2.96-3.25, 1 Ag 3.01
Cd (0.6960, 0.6960, 0.2758)  11 Cd 2.96-3.25, 1 Ag 3.01
Cd (0.7242, 0.4202, 0.4202)  11 Cd 2.96-3.25, 1 Ag 3.01
Cd (0.8101, 0.0000, 0.6218)  8 Cd 2.81-3.00, 2 Ag 3.04
Cd (0.8101, 0.6218, 0.0000)  8 Cd 2.81-3.00, 2 Ag 3.04
Cd (0.8117, 0.1899, 0.1899)  8 Cd 2.81-3.00, 2 Ag 3.04
Ag (0.0000, 0.0000, 0.0000)  4 Ag 2.88
Ag (0.0000, 0.0000, 0.3151)  1 Ag 2.88, 9 Cd 3.01-3.04
Ag (0.0000, 0.3151, 0.0000)  1 Ag 2.88, 9 Cd 3.01-3.04
Ag (0.3151, 0.0000, 0.0000)  1 Ag 2.88, 9 Cd 3.01-3.04
Ag (0.6849, 0.6849, 0.6849)  1 Ag 2.88, 9 Cd 3.01-3.04